No. 1
The following is a GGA-PBEsol calculation of a relaxed Cr2ReW crystal, from the Alexandria database.

a b c (Å): 2.983 4.210 4.943
angles (deg): 115.20 107.56 90.00
Positions (direct):
Cr 0.003 0.003 0.006
W 0.255 0.755 0.509
Re 0.497 0.497 0.994
Cr 0.745 0.245 0.491

Values from the calculation:
Formation energy   0.06 eV/atom
Magnetization   0.0 μB per formula unit
Mass density   14.87 Mg/m³
DFT total energy   -11.847 eV per atom

No. 2
The following is a GGA-PBEsol calculation of a relaxed CaLa3N crystal, from the Alexandria database.

a b c (Å): 5.200 5.200 5.200
angles (deg): 90.00 90.00 90.00
Positions (direct):
Ca 0.500 0.500 0.500
La 0.000 0.500 0.000
La 0.000 0.000 0.500
N 0.000 0.000 0.000
La 0.500 0.000 0.000

Values from the calculation:
ΔE_f (raw)   -0.51 eV per atom
Magnetization   0.0 μB per formula unit
Mass density   5.56 Mg/m³
DFT total energy   -5.852 eV per atom

No. 3
The following is a GGA-PBEsol calculation of a relaxed SrIrRh2 crystal, from the Alexandria database.

a b c (Å): 3.918 4.135 4.135
angles (deg): 90.00 90.00 90.00
Positions (direct):
Sr 0.500 0.500 0.500
Rh 0.000 0.000 0.500
Rh 0.000 0.500 0.000
Ir 0.500 0.000 0.000

Values from the calculation:
Formation energy   0.38 eV/atom
Distance to the lowest polymorph of the same formula   130 meV per atom
Magnetization   0.0 μB per formula unit
Mass density   12.04 Mg/m³
DFT total energy   -6.607 eV per atom

No. 4
The following is a GGA-PBEsol calculation of a relaxed La2MgTl crystal, from the Alexandria database.

a b c (Å): 3.598 4.587 7.129
angles (deg): 90.00 90.00 90.00
Positions (direct):
Tl 0.500 0.500 0.500
Mg 0.500 0.500 0.000
La 0.000 0.000 0.740
La 0.000 0.000 0.260

Values from the calculation:
Formation energy   -0.28 eV/atom
Distance to the lowest polymorph of the same formula   14 meV per atom
Magnetization   0.0 μB per formula unit
Mass density   7.15 Mg/m³
DFT total energy   -4.040 eV per atom

Please write out number 4 again, unchanged.
The following is a GGA-PBEsol calculation of a relaxed La2MgTl crystal, from the Alexandria database.

a b c (Å): 3.598 4.587 7.129
angles (deg): 90.00 90.00 90.00
Positions (direct):
Tl 0.500 0.500 0.500
Mg 0.500 0.500 0.000
La 0.000 0.000 0.740
La 0.000 0.000 0.260

Values from the calculation:
Formation energy   -0.28 eV/atom
Distance to the lowest polymorph of the same formula   14 meV per atom
Magnetization   0.0 μB per formula unit
Mass density   7.15 Mg/m³
DFT total energy   -4.040 eV per atom

Repeat the second record exactly.
The following is a GGA-PBEsol calculation of a relaxed CaLa3N crystal, from the Alexandria database.

a b c (Å): 5.200 5.200 5.200
angles (deg): 90.00 90.00 90.00
Positions (direct):
Ca 0.500 0.500 0.500
La 0.000 0.500 0.000
La 0.000 0.000 0.500
N 0.000 0.000 0.000
La 0.500 0.000 0.000

Values from the calculation:
ΔE_f (raw)   -0.51 eV per atom
Magnetization   0.0 μB per formula unit
Mass density   5.56 Mg/m³
DFT total energy   -5.852 eV per atom

Look up the DFT total energy of the fourth one. -4.040 eV per atom